1.
A crystal of KMnReHg2 relaxed with PBEsol, computed with SCAN.

Summary:
VASP energy = -231.708 eV for the cell shown
Theoretical density = 8.732 Mg/m³
Magnetization = 3.05 μB/f.u.

Cell and atoms, written as POSCAR:
```
KMnReHg2
1.0
-3.836 -0.163 2.488
-1.440 -4.466 -2.511
2.518 -2.889 3.693
Re Hg Mn K
1 2 1 1
Direct
0.000 0.000 0.000
0.000 0.500 0.000
0.000 0.000 0.500
0.500 0.000 0.000
0.500 0.500 0.500
```


2.
A crystal of KHgMo4 relaxed with PBEsol, computed with SCAN.

Summary:
VASP energy = -209.480 eV for the cell shown
Theoretical density = 9.385 Mg/m³
Magnetization = 0.00 μB/f.u.

Cell and atoms, written as POSCAR:
```
KHgMo4
1.0
-4.056 2.917 -2.005
-1.399 -0.532 -5.171
-4.647 -2.387 -1.300
Hg Mo K
1 4 1
Direct
0.750 0.750 0.750
0.373 0.882 0.373
0.373 0.373 0.373
0.373 0.373 0.882
0.882 0.373 0.373
0.000 0.000 0.000
```


3.
A crystal of KHgMo3 relaxed with PBEsol, computed with SCAN.

Summary:
VASP energy = -169.649 eV for the cell shown
Theoretical density = 6.069 Mg/m³
Magnetization = 12.80 μB/f.u.

Cell and atoms, written as POSCAR:
```
KHgMo3
1.0
5.246 0.000 0.000
0.000 5.246 0.000
0.000 0.000 5.246
Hg Mo K
1 3 1
Direct
0.000 0.000 0.000
0.000 0.500 0.000
0.500 0.000 0.000
0.000 0.000 0.500
0.500 0.500 0.500
```


Q: The lowest theoretical density belongs to which entry?
A: KHgMo3


Q: The lowest magnetization belongs to which entry?
A: KHgMo4


Q: Which of these has the highest VASP energy?
A: KHgMo3


Q: Which value of VASP energy does entry 1 give?
A: -231.708 eV for the cell shown